The following is a DFT calculation (PBE) of an optimized crystal structure of Cd7Hg2Pd2.

Geometry as extended XYZ:
```
11
Lattice="-3.0657 1.5067 2.8663 0.3582 -4.6856 6.3148 3.9358 2.6969 6.2606" Properties=species:S:1:pos:R:3 pbc="T T T"
Cd 0.8398 1.1783 10.6849
Cd -0.9840 -3.5388 7.7450
Cd 1.5711 0.7803 4.7389
Cd 1.2763 -1.6682 9.1793
Cd 3.4320 -0.7629 11.0092
Pd -0.4726 -0.8310 3.4000
Pd 0.8493 -1.4081 12.0546
Cd -0.9248 -0.6229 6.2757
Hg 1.6726 -1.9732 6.2949
Cd -1.5606 1.6082 4.4228
Hg 1.3229 1.2217 7.7101
```

Output
* formation enthalpy at 0 K: -0.13 eV/atom
* space group: Imm2

---

The following is a DFT calculation (PBE) of an optimized crystal structure of Cd8Hg3Pd2.

Geometry as extended XYZ:
```
13
Lattice="4.8629 0.0000 0.0000 0.0000 7.6419 -4.1723 0.0000 -0.4358 8.2863" Properties=species:S:1:pos:R:3 pbc="T T T"
Cd 2.4315 3.1456 0.4481
Hg 0.0000 2.3822 -1.3007
Cd 2.4315 6.3180 -1.2840
Cd 4.8629 6.4097 2.6553
Pd 2.4315 1.4548 2.6645
Cd 0.0000 0.7964 1.4586
Hg 0.0000 5.2597 -2.8717
Cd 2.4314 4.0605 3.6658
Pd 2.4315 5.7513 1.4494
Cd 4.8629 2.1702 3.9748
Hg 2.4315 0.0000 0.0000
Cd 0.0000 5.0359 0.1391
Cd 2.4314 0.8881 5.3979
```

Output
* formation enthalpy at 0 K: -0.10 eV/atom
* space group: Cmmm

---

The following is a DFT calculation (PBE) of an optimized crystal structure of Cd4HgPd3.

Geometry as extended XYZ:
```
8
Lattice="3.2540 0.0000 0.0000 0.0000 3.2540 0.0000 0.0000 0.0000 14.3143" Properties=species:S:1:pos:R:3 pbc="T T T"
Cd 0.0000 0.0000 5.5082
Hg 1.6270 1.6270 0.0000
Pd 1.6270 1.6270 3.8442
Cd 0.0000 0.0000 12.1242
Pd 1.6270 1.6270 7.1571
Cd 0.0000 0.0000 2.1901
Pd 1.6270 1.6270 10.4701
Cd 0.0000 0.0000 8.8061
```

Output
* formation enthalpy at 0 K: -0.29 eV/atom
* space group: P4/mmm

---

The following is a DFT calculation (PBE) of an optimized crystal structure of Cd8Hg2Pd3.

Geometry as extended XYZ:
```
13
Lattice="5.6365 0.0000 0.0000 2.8183 4.8814 0.0000 2.8183 1.6271 10.2894" Properties=species:S:1:pos:R:3 pbc="T T T"
Pd 2.8183 1.6271 4.4332
Hg 5.6365 3.2542 0.9640
Hg 5.6365 3.2542 9.3255
Cd 7.0482 4.0693 3.5380
Pd 0.0000 0.0000 0.0000
Cd 5.6365 4.8844 6.7514
Cd 4.2248 2.4392 6.7514
Cd 5.6365 1.6241 3.5380
Cd 2.8183 1.6271 1.7430
Pd 8.4548 4.8814 5.8562
Cd 8.4548 4.8814 8.5465
Cd 4.2248 4.0693 3.5380
Cd 7.0482 2.4392 6.7514
```

Output
* formation enthalpy at 0 K: -0.02 eV/atom
* space group: R-3m

---

Repeat the second record exactly.
The following is a DFT calculation (PBE) of an optimized crystal structure of Cd8Hg3Pd2.

Geometry as extended XYZ:
```
13
Lattice="4.8629 0.0000 0.0000 0.0000 7.6419 -4.1723 0.0000 -0.4358 8.2863" Properties=species:S:1:pos:R:3 pbc="T T T"
Cd 2.4315 3.1456 0.4481
Hg 0.0000 2.3822 -1.3007
Cd 2.4315 6.3180 -1.2840
Cd 4.8629 6.4097 2.6553
Pd 2.4315 1.4548 2.6645
Cd 0.0000 0.7964 1.4586
Hg 0.0000 5.2597 -2.8717
Cd 2.4314 4.0605 3.6658
Pd 2.4315 5.7513 1.4494
Cd 4.8629 2.1702 3.9748
Hg 2.4315 0.0000 0.0000
Cd 0.0000 5.0359 0.1391
Cd 2.4314 0.8881 5.3979
```

Output
* formation enthalpy at 0 K: -0.10 eV/atom
* space group: Cmmm

---

The lowest formation enthalpy at 0 K belongs to which entry? Cd4HgPd3

---

Among the records above, which one has the lowest formation enthalpy at 0 K? Cd4HgPd3

---

Which of these has the lowest formation enthalpy at 0 K? Cd4HgPd3